Below is a relaxed structure of KTa2VO8, with properties calculated at the PBE+U level.

Computed properties:
uncorrected energy	-8.333	eV/atom
size of the total moment	0.0	μB per cell

a = 8.6340 Å, b = 6.1217 Å, c = 7.1795 Å
α = 90.00°, β = 105.38°, γ = 90.00°
Space group C2/m (No. 12)
Symmetry-distinct sites (fractional):
K (0.0000, 0.0000, 0.0000) [2 per cell]
Ta (0.0689, 0.5000, 0.2278) [4 per cell]
V (0.0000, 0.0000, 0.5000) [2 per cell]
O (0.0147, 0.2268, 0.3173) [8 per cell]
O (0.1448, 0.5000, 0.0007) [4 per cell]
O (0.2178, 0.0000, 0.5976) [4 per cell]